First-principles (PBE+U) data for a relaxed SrCoSeO crystal, as listed in OQMD via LeMat-Bulk.

a b c (Å): 6.765 6.825 6.993
angles (deg): 90.00 90.00 90.00
Element x y z (fractional)
Sr: 0.127 0.117 0.380
Sr: 0.373 0.883 0.880
Sr: 0.627 0.383 0.620
Sr: 0.873 0.617 0.120
Co: 0.176 0.330 0.821
Co: 0.324 0.670 0.321
Co: 0.676 0.170 0.179
Co: 0.824 0.830 0.679
Se: 0.122 0.624 0.618
Se: 0.378 0.376 0.118
Se: 0.622 0.876 0.382
Se: 0.878 0.124 0.882
O: 0.167 0.827 0.168
O: 0.333 0.173 0.668
O: 0.667 0.673 0.832
O: 0.833 0.327 0.332

## Properties
**Space group**: P2_12_12_1, No. 19
**Uncorrected energy**: -0.182 hartree per atom